(1)
# La2PmSm7 (PBE, optimized geometry)
# energy relative to the lowest polymorph listed for this composition = 90.3 meV per atom
# DFT total energy = -0.1696 Ha/atom
# symmetry = Cmmm
# Fermi-level density of states = 17.30 states/eV/cell
# ΔH_f (0 K) = 0.150 eV per atom
data_La2PmSm7
_symmetry_space_group_name_H-M 'P 1'
_symmetry_Int_Tables_number 1
_cell_length_a 15.1384
_cell_length_b 15.1384
_cell_length_c 3.5058
_cell_angle_alpha 90.00
_cell_angle_beta 90.00
_cell_angle_gamma 154.20
loop_
_symmetry_equiv_pos_as_xyz
'x,y,z'
loop_
_atom_site_label
_atom_site_fract_x
_atom_site_fract_y
_atom_site_fract_z
La1 0.2042 0.7958 0.0000
La2 0.7958 0.2042 0.0000
Pm1 0.5000 0.5000 0.5000
Sm1 0.0000 0.0000 0.0000
Sm2 0.1558 0.3527 0.0000
Sm3 0.3128 0.6872 0.5000
Sm4 0.3527 0.1558 0.0000
Sm5 0.6473 0.8442 0.0000
Sm6 0.6872 0.3128 0.5000
Sm7 0.8442 0.6473 0.0000

=====

(2)
# La6Pm2Sm3 (PBE, optimized geometry)
# DFT total energy = -0.1683 Ha/atom
# symmetry = I4/mmm
# Fermi-level density of states = 19.20 states/eV/cell
# ΔH_f (0 K) = 0.258 eV per atom
data_La6Pm2Sm3
_symmetry_space_group_name_H-M 'P 1'
_symmetry_Int_Tables_number 1
_cell_length_a 17.8861
_cell_length_b 17.8861
_cell_length_c 17.8861
_cell_angle_alpha 164.58
_cell_angle_beta 164.58
_cell_angle_gamma 21.88
loop_
_symmetry_equiv_pos_as_xyz
'x,y,z'
loop_
_atom_site_label
_atom_site_fract_x
_atom_site_fract_y
_atom_site_fract_z
La1 0.1184 0.6184 0.5000
La2 0.2106 0.2106 0.0000
La3 0.3816 0.8816 0.5000
La4 0.6184 0.1184 0.5000
La5 0.7894 0.7894 0.0000
La6 0.8816 0.3816 0.5000
Pm1 0.0441 0.0441 0.0000
Pm2 0.9559 0.9559 0.0000
Sm1 0.3096 0.3096 0.0000
Sm2 0.5000 0.5000 0.0000
Sm3 0.6904 0.6904 0.0000

=====

(3)
# La3Pm7Sm (PBE, optimized geometry)
# energy relative to the lowest polymorph listed for this composition = 17.2 meV per atom
# DFT total energy = -0.1680 Ha/atom
# symmetry = Immm
# Fermi-level density of states = 17.06 states/eV/cell
# ΔH_f (0 K) = 0.224 eV per atom
data_La3Pm7Sm
_symmetry_space_group_name_H-M 'P 1'
_symmetry_Int_Tables_number 1
_cell_length_a 8.6569
_cell_length_b 8.6569
_cell_length_c 8.6569
_cell_angle_alpha 139.41
_cell_angle_beta 97.17
_cell_angle_gamma 96.65
loop_
_symmetry_equiv_pos_as_xyz
'x,y,z'
loop_
_atom_site_label
_atom_site_fract_x
_atom_site_fract_y
_atom_site_fract_z
La1 0.0000 0.0000 0.0000
La2 0.2121 0.5000 0.7121
La3 0.7879 0.5000 0.2879
Pm1 0.0005 0.2019 0.7986
Pm2 0.2077 0.7077 0.5000
Pm3 0.4033 0.2019 0.2014
Pm4 0.5000 0.5000 0.0000
Pm5 0.5967 0.7981 0.7986
Pm6 0.7923 0.2923 0.5000
Pm7 0.9995 0.7981 0.2014
Sm1 0.5000 0.0000 0.5000

=====

Which value of DFT total energy does entry 3 give?
-0.1680 Ha/atom

=====

Which of these has the lowest Fermi-level density of states?
La3Pm7Sm

=====

Number 2 is which compound?
La6Pm2Sm3